(1)
Crystalline Er7Th2Sc2 at its relaxed geometry, computed with GGA-PBE.

Results
ΔE_f: 0.309 eV per atom
uncorrected energy: -5.095 eV per atom
energy above the lowest structure with this stoichiometry: 168 meV per atom
space group: C2/m
Fermi-level density of states: 1.433 states/eV/atom

```
Er7Th2Sc2
1.0
-6.2599 5.2645 -1.3445
-0.7326 -6.0534 -4.2937
-2.6163 -6.6597 2.1024
Er Th Sc
7 2 2
Direct
0.7816 0.9490 0.4471
0.2184 0.5529 0.0510
0.2184 0.0510 0.5529
0.7816 0.4471 0.9490
0.5000 0.0000 0.0000
0.3812 0.5817 0.5817
0.6188 0.4183 0.4183
0.0000 0.2451 0.7549
0.0000 0.7549 0.2451
0.3782 0.1661 0.1661
0.6218 0.8339 0.8339
```

---

(2)
Crystalline RbOsBr2 at its relaxed geometry, computed with GGA-PBE.

Results
raw formation energy: 0.664 eV per atom
uncorrected energy: -3.221 eV per atom
energy above the lowest structure with this stoichiometry: 397 meV per atom
space group: Fm-3m
Fermi-level density of states: 0.834 states/eV/atom

```
RbOsBr2
1.0
0.0000 3.7564 3.7564
3.7564 0.0000 3.7564
3.7564 3.7564 0.0000
Os Br Rb
1 2 1
Direct
0.5000 0.5000 0.5000
0.2500 0.2500 0.2500
0.7500 0.7500 0.7500
0.0000 0.0000 0.0000
```

---

(3)
Crystalline Pm2MgAs at its relaxed geometry, computed with GGA-PBE.

Results
ΔE_f: -0.443 eV per atom
uncorrected energy: -4.380 eV per atom
energy above the lowest structure with this stoichiometry: 230 meV per atom
space group: Fm-3m
Fermi-level density of states: 0.969 states/eV/atom

```
Pm2MgAs
1.0
5.2710 0.0000 0.0000
2.6355 4.5648 0.0000
2.6355 1.5216 4.3038
As Mg Pm
1 1 2
Direct
0.5000 0.5000 0.5000
0.0000 0.0000 0.0000
0.2500 0.2500 0.2500
0.7500 0.7500 0.7500
```

---

(4)
Crystalline CuPd5Au2 at its relaxed geometry, computed with GGA-PBE.

Results
ΔE_f: -0.059 eV per atom
uncorrected energy: -4.636 eV per atom
energy above the lowest structure with this stoichiometry: 5 meV per atom
space group: Pbam
Fermi-level density of states: 1.370 states/eV/atom

```
CuPd5Au2
1.0
3.8931 0.0000 0.0000
0.0000 5.6867 0.0000
0.0000 0.0000 11.3737
Cu Pd Au
2 10 4
Direct
0.0000 0.0000 0.5000
0.0000 0.5000 0.0000
0.0000 0.0000 0.0000
0.0000 0.5000 0.5000
0.0000 0.4842 0.7521
0.0000 0.5158 0.2479
0.0000 0.0158 0.2521
0.0000 0.9842 0.7479
0.5000 0.2394 0.8742
0.5000 0.7606 0.1258
0.5000 0.2606 0.3742
0.5000 0.7394 0.6258
0.5000 0.2340 0.6205
0.5000 0.7660 0.3795
0.5000 0.2660 0.1205
0.5000 0.7340 0.8795
```

---

(5)
Crystalline Dy8TlPd2 at its relaxed geometry, computed with GGA-PBE.

Results
ΔE_f: -0.304 eV per atom
uncorrected energy: -4.810 eV per atom
space group: C2/m
Fermi-level density of states: 1.299 states/eV/atom

```
Dy8TlPd2
1.0
-5.0106 1.9886 -0.9872
-2.1286 -6.7846 3.8332
2.7221 5.9108 4.7862
Dy Tl Pd
8 1 2
Direct
0.9199 0.9169 0.6690
0.9199 0.6690 0.9169
0.3078 0.6067 0.6067
0.5000 0.7590 0.2410
0.5000 0.2410 0.7590
0.6922 0.3933 0.3933
0.0801 0.3310 0.0831
0.0801 0.0831 0.3310
0.5000 0.0000 0.0000
0.0000 0.3027 0.6973
0.0000 0.6973 0.3027
```

---

(6)
Crystalline Te2WNCl at its relaxed geometry, computed with GGA-PBE.

Results
raw formation energy: 0.292 eV per atom
uncorrected energy: -5.590 eV per atom
energy above the lowest structure with this stoichiometry: 0 meV per atom
space group: P4/mmm
Fermi-level density of states: 1.107 states/eV/atom

```
Te2WNCl
1.0
-2.7349 4.3512 -1.8475
-3.7937 -0.7468 3.8570
1.9707 2.2464 2.3733
N Te W Cl
1 2 1 1
Direct
0.0000 0.0000 0.5000
0.0000 0.5000 0.0000
0.5000 0.0000 0.0000
0.0000 0.0000 0.0000
0.5000 0.5000 0.5000
```

---

Which of these has the lowest uncorrected energy? Te2WNCl

---

Fermi-level density of states of number 4 (CuPd5Au2)? 1.370 states/eV/atom

---

Please write out number 6 again, unchanged.
Crystalline Te2WNCl at its relaxed geometry, computed with GGA-PBE.

Results
raw formation energy: 0.292 eV per atom
uncorrected energy: -5.590 eV per atom
energy above the lowest structure with this stoichiometry: 0 meV per atom
space group: P4/mmm
Fermi-level density of states: 1.107 states/eV/atom

```
Te2WNCl
1.0
-2.7349 4.3512 -1.8475
-3.7937 -0.7468 3.8570
1.9707 2.2464 2.3733
N Te W Cl
1 2 1 1
Direct
0.0000 0.0000 0.5000
0.0000 0.5000 0.0000
0.5000 0.0000 0.0000
0.0000 0.0000 0.0000
0.5000 0.5000 0.5000
```